[1]
Here is crystalline PmYCd at its relaxed geometry from the Alexandria database. Energies are from PBE-GGA.

Cell and atoms, written as POSCAR:
```
PmYCd
1.0
5.4066 -0.6242 0.0000
-2.1592 4.9958 0.0000
0.0000 0.0000 6.4708
Pm Cd Y
2 2 2
Cartesian
2.8836 1.2499 4.8531
0.3637 3.1217 1.6177
0.0000 0.0000 0.0000
0.0000 0.0000 3.2354
0.3600 3.1245 4.8531
2.8874 1.2471 1.6177
```

ΔE to the lowest computed polymorph ... 244 meV per atom
Calculated volume ... 166 Å³/cell
Formation energy from the elements ... 11 kJ/mol of formula units
Space group ... P6_3/mmc, No. 194


[2]
Here is crystalline BeSn at its relaxed geometry from the Alexandria database. Energies are from PBE-GGA.

Cell and atoms, written as POSCAR:
```
BeSn
1.0
-8.4250 -4.4060 -0.5887
5.7064 0.4034 -7.6167
1.6137 -3.2244 1.0382
Sn Be
6 6
Cartesian
3.9061 -2.8997 -4.9068
1.2222 -4.5377 -5.8223
-2.5952 -3.8103 -4.4101
1.4903 -3.4166 -2.7571
-5.0110 -4.3272 -2.2604
-2.3271 -2.6893 -1.3449
-4.7390 -4.9506 -4.6194
-0.2787 -4.6720 -3.9068
-4.3680 -3.3213 -0.1356
3.2631 -3.9056 -7.0316
3.6341 -2.2763 -2.5479
-0.8263 -2.5549 -3.2605
```

ΔE to the lowest computed polymorph ... 158 meV per atom
Calculated volume ... 295 Å³/cell
Formation energy from the elements ... 74 kJ/mol of formula units
Space group ... P6_3/m, No. 176


[3]
Here is crystalline Dy4InTe2 at its relaxed geometry from the Alexandria database. Energies are from PBE-GGA.

Cell and atoms, written as POSCAR:
```
Dy4InTe2
1.0
8.1709 -1.1938 -0.1808
-1.7797 8.0641 0.1805
-3.0637 -3.5574 6.7930
Dy In Te
8 2 4
Cartesian
3.8787 -2.8893 4.5599
1.0414 2.9551 1.3243
1.9458 -1.0909 2.0519
-0.1926 -2.3061 5.4688
4.4760 1.5260 4.6300
5.4011 3.8676 1.2537
0.4040 2.1089 5.5391
6.3058 -0.1777 1.9815
-0.8238 3.9713 3.4869
3.3273 3.3126 6.7925
-1.9439 0.2067 5.1398
3.6734 1.3884 1.6529
2.7838 5.4207 1.7434
2.1416 -0.3900 5.0493
```

Total energy ... -4.704 eV/atom
Calculated volume ... 433 Å³/cell
Space group ... I4_1/amd, No. 141


[4]
Here is crystalline Cs8HAu2 at its relaxed geometry from the Alexandria database. Energies are from PBE-GGA.

Cell and atoms, written as POSCAR:
```
Cs8HAu2
1.0
8.5389 0.0000 -4.0674
-0.0313 9.4189 -0.0657
-0.5579 -0.0586 9.8254
Au Cs H
2 8 1
Cartesian
0.6117 4.3682 1.2842
7.3379 4.9921 4.4081
2.1998 7.1295 -0.4724
6.7859 7.1295 -2.6569
6.5858 8.2613 2.8292
5.7499 2.2308 6.1648
2.0987 5.6170 4.4059
1.3638 1.0990 2.8632
5.8510 3.7433 1.2865
1.1637 2.2308 8.3493
0.0000 0.0000 0.0000
```

ΔE to the lowest computed polymorph ... 0 meV per atom
Calculated volume ... 769 Å³/cell
Space group ... C2/m, No. 12


[5]
Here is crystalline PmPu6Se8 at its relaxed geometry from the Alexandria database. Energies are from PBE-GGA.

Cell and atoms, written as POSCAR:
```
PmPu6Se8
1.0
0.0118 7.8572 2.6875
-2.4469 1.7440 7.7415
5.5620 2.4434 5.6615
Se Pu Pm
8 6 1
Cartesian
-0.4234 3.9027 7.8947
0.7947 6.9314 5.3909
2.3452 9.0335 12.0678
3.5503 8.1419 8.1957
-0.4176 7.7954 9.2262
2.3322 5.1132 10.6996
0.7817 3.0112 4.0226
3.5445 4.2492 6.8642
2.7869 5.1503 4.1745
2.7810 1.2217 2.8307
0.0059 3.9286 1.3438
-1.2176 4.8006 5.2145
-1.2235 0.8720 3.8707
1.5576 2.0937 6.7015
0.0000 0.0000 0.0000
```

Total energy ... -9.493 eV/atom
Calculated volume ... 405 Å³/cell
Space group ... Fm-3m, No. 225


[6]
Here is crystalline Ce2MgF at its relaxed geometry from the Alexandria database. Energies are from PBE-GGA.

Cell and atoms, written as POSCAR:
```
Ce2MgF
1.0
3.1140 0.0000 0.0000
1.5570 2.6968 0.0000
1.5570 0.8989 10.5406
Mg Ce F
1 2 1
Cartesian
0.0000 0.0000 0.0000
1.5570 0.8989 7.2785
4.6710 2.6968 3.2621
3.1140 1.7979 5.2703
```

Total energy ... -4.728 eV/atom
Calculated volume ... 89 Å³/cell
Space group ... R-3m, No. 166


[7]
Here is crystalline Mn3Ag at its relaxed geometry from the Alexandria database. Energies are from PBE-GGA.

Cell and atoms, written as POSCAR:
```
Mn3Ag
1.0
-1.1441 -4.4124 -0.4278
2.9276 -0.3773 -3.9373
4.2355 -1.4167 3.2851
Mn Ag
6 2
Cartesian
0.9280 -2.6152 -0.0071
3.5453 -0.6767 -2.5017
5.6432 -1.3784 -0.8745
3.0656 -3.3302 1.6509
3.1229 -0.8379 0.2907
1.3504 -2.4540 -2.7994
0.9992 -0.1288 -1.3438
3.4741 -3.1631 -1.1649
```

Calculated volume ... 125 Å³/cell
Formation energy from the elements ... 198 kJ/mol of formula units
Space group ... Pmmn, No. 59


[8]
Here is crystalline CaSnSb2 at its relaxed geometry from the Alexandria database. Energies are from PBE-GGA.

Cell and atoms, written as POSCAR:
```
CaSnSb2
1.0
-5.5421 -2.5373 1.1378
2.0017 -5.6977 -2.9554
1.6812 2.4911 13.7437
Sb Ca Sn
8 4 4
Cartesian
-1.6217 -6.3239 3.1363
-2.7808 -4.7521 0.9954
-2.0739 -3.2750 8.0950
0.9216 -0.9917 10.9308
-0.2375 0.5800 8.7899
-0.7664 -5.3643 9.8048
0.2147 -2.4688 3.8312
-1.0929 -0.3796 2.1214
-0.5727 0.1011 5.6806
-1.2865 -5.8450 6.2456
-1.5689 -2.8013 11.6574
-0.2903 -2.9426 0.2688
0.8818 -2.6330 7.0164
-3.6831 -2.2765 2.1814
-2.7410 -3.1109 4.9097
1.8239 -3.4673 9.7448
```

Total energy ... -3.952 eV/atom
Calculated volume ... 492 Å³/cell
Space group ... P2/c, No. 13


[9]
Here is crystalline CsCd12As7 at its relaxed geometry from the Alexandria database. Energies are from PBE-GGA.

Cell and atoms, written as POSCAR:
```
CsCd12As7
1.0
-1.8740 0.8158 6.2482
-7.5454 -5.6595 -3.8293
-0.4624 -9.5781 3.4176
As Cd Cs
7 12 1
Cartesian
-5.2714 -5.5491 2.0534
-0.9370 0.4079 3.1241
-3.1777 -5.3868 7.2712
-3.7975 -2.4563 4.3971
-6.7041 -9.0350 -1.4347
-4.6103 -8.8726 3.7831
-6.0842 -11.9654 1.4394
-3.9918 -7.7881 6.2687
-6.8608 -7.6843 2.7750
-3.0209 -6.7375 3.0615
-1.0857 -2.3631 4.1263
-8.7960 -12.0587 1.7102
-3.5842 -10.8015 5.4145
-8.4669 -10.9461 5.0248
-1.4149 -3.4757 0.8116
-6.2976 -3.6202 0.4220
-5.8899 -6.6337 -0.4323
-3.8000 -10.4900 1.7537
-6.0817 -3.9318 4.0828
0.0000 0.0000 0.0000
```

Calculated volume ... 563 Å³/cell
Formation energy from the elements ... 73 kJ/mol of formula units
Space group ... R-3, No. 148


[10]
Here is crystalline PmBeS at its relaxed geometry from the Alexandria database. Energies are from PBE-GGA.

Cell and atoms, written as POSCAR:
```
PmBeS
1.0
-3.3091 3.1180 0.2556
-4.3175 -1.1889 -0.8267
-3.4547 -0.8978 6.7914
Be S Pm
2 2 2
Cartesian
-2.9676 -0.0753 3.0646
-8.1137 1.1066 3.1558
-8.3941 0.6331 5.3015
-2.6872 0.3982 0.9189
-5.7627 0.1408 4.8089
-5.3186 0.8905 1.4115
```

Total energy ... -5.167 eV/atom
Calculated volume ... 129 Å³/cell
Space group ... R-3m, No. 166


[11]
Here is crystalline NbNiGe at its relaxed geometry from the Alexandria database. Energies are from PBE-GGA.

Cell and atoms, written as POSCAR:
```
NbNiGe
1.0
-1.6088 -4.5869 -5.0847
3.0346 -1.9923 -0.4863
-1.5762 -2.8225 1.7214
Nb Ge Ni
2 2 2
Cartesian
-0.0360 -3.2794 -2.0885
1.4137 -5.0088 0.2882
0.9202 -2.3833 0.2447
0.4573 -5.9049 -2.0452
-1.6318 -5.4406 -3.2003
0.6736 -5.0260 -4.3039
```

Calculated volume ... 88 Å³/cell
Formation energy from the elements ... -134 kJ/mol of formula units
Space group ... I4/mmm, No. 139


[12]
Here is crystalline Pr6PtSe3S2 at its relaxed geometry from the Alexandria database. Energies are from PBE-GGA.

Cell and atoms, written as POSCAR:
```
Pr6PtSe3S2
1.0
-6.1768 -0.8300 3.7783
5.0343 -5.2697 0.0660
3.3672 4.9592 4.2380
Pt Se Pr S
1 3 6 2
Cartesian
0.0000 0.0000 0.0000
-2.6091 0.9035 5.2735
1.1123 -0.5703 4.0412
4.8338 -2.0440 2.8089
3.5862 -1.5644 5.5074
-1.3615 0.4239 2.5750
-0.1755 -0.0747 6.7530
2.4002 -1.0658 1.3293
2.2701 2.2131 4.2089
-0.0454 -3.3536 3.8734
-2.4316 -2.3131 2.5382
1.2891 -3.7866 1.3061
```

Total energy ... -6.244 eV/atom
Calculated volume ... 319 Å³/cell
Space group ... C2/m, No. 12


[13]
Here is crystalline CsNp2Br11 at its relaxed geometry from the Alexandria database. Energies are from PBE-GGA.

Cell and atoms, written as POSCAR:
```
CsNp2Br11
1.0
-12.7982 0.6663 -3.7577
-9.0904 -4.7007 6.3951
-7.7090 8.3746 4.0084
Br Np Cs
22 4 2
Cartesian
-14.7988 2.1701 3.3229
-18.5525 2.2809 4.2395
-16.9580 5.2814 2.0520
-15.4482 -1.3844 1.8747
-12.6395 -0.9413 4.5938
-3.6620 0.9784 0.7582
-19.0991 -1.1807 2.8195
-14.1494 5.7246 4.7711
-17.5474 1.5254 0.6825
-25.9356 3.3618 5.8876
-20.5372 6.1639 2.8729
0.0000 0.0000 0.0000
-10.1412 0.4433 -0.9589
-22.8730 -0.3949 3.6059
-12.0501 2.8147 5.9633
-9.0603 -1.8237 3.7729
-11.0451 2.0593 2.4064
-10.4984 5.5209 3.8263
-13.1348 4.9620 1.1805
-19.4564 3.8968 7.6047
-16.4627 -0.6218 5.4653
-6.7245 4.7350 3.0399
-12.5683 3.9219 3.5811
-10.9284 -2.7370 5.4587
-17.0293 0.4182 3.0647
-18.6692 7.0772 1.1871
-7.3994 1.0850 1.6615
-22.1982 3.2551 4.9844
```

Total energy ... -4.392 eV/atom
Calculated volume ... 1340 Å³/cell
Space group ... Ibam, No. 72


[14]
Here is crystalline BaAcCd2Hg4 at its relaxed geometry from the Alexandria database. Energies are from PBE-GGA.

Cell and atoms, written as POSCAR:
```
BaAcCd2Hg4
1.0
-3.3712 4.1810 -0.8405
-3.6383 -0.2104 -4.0336
-8.3192 -2.3768 3.9647
Hg Cd Ba Ac
4 2 1 1
Cartesian
-9.2628 2.5769 -2.7690
-9.8658 -0.5647 1.6020
-6.0659 -0.9832 1.8596
-5.4630 2.1584 -2.5114
-11.4467 1.2261 -0.7286
-3.8820 0.3676 -0.1808
0.0000 0.0000 0.0000
-7.6644 0.7969 -0.4547
```

Calculated volume ... 230 Å³/cell
Formation energy from the elements ... -301 kJ/mol of formula units
Space group ... R-3m, No. 166


[15]
Here is crystalline CrWSe at its relaxed geometry from the Alexandria database. Energies are from PBE-GGA.

Cell and atoms, written as POSCAR:
```
CrWSe
1.0
5.3790 0.0094 0.0000
3.7575 3.8491 0.0000
-4.5683 -1.9292 2.0840
Cr W Se
1 1 1
Cartesian
8.9844 3.7942 0.0000
6.0858 2.5701 0.0000
3.2028 1.3526 0.0000
```

ΔE to the lowest computed polymorph ... 0 meV per atom
Calculated volume ... 43 Å³/cell
Space group ... I4mm, No. 107


[16]
Here is crystalline KSnPO2 at its relaxed geometry from the Alexandria database. Energies are from PBE-GGA.

Cell and atoms, written as POSCAR:
```
KSnPO2
1.0
4.2646 0.0000 0.0000
0.0000 4.2646 0.0000
0.0000 0.0000 5.1904
O Sn P K
2 1 1 1
Cartesian
2.1323 0.0000 0.0000
0.0000 2.1323 0.0000
0.0000 0.0000 0.0000
0.0000 0.0000 2.5952
2.1323 2.1323 2.5952
```

ΔE to the lowest computed polymorph ... 0 meV per atom
Calculated volume ... 94 Å³/cell
Space group ... P4/mmm, No. 123


[17]
Here is crystalline AcSmPu4 at its relaxed geometry from the Alexandria database. Energies are from PBE-GGA.

Cell and atoms, written as POSCAR:
```
AcSmPu4
1.0
-5.7824 1.6896 1.9350
-5.1042 -2.8545 -2.4154
-3.4139 -3.9411 3.5844
Pu Ac Sm
4 1 1
Cartesian
-6.3841 -1.7622 3.1512
-7.2310 -1.2178 0.1447
-8.9417 -3.1926 1.9409
-6.0442 -4.0393 0.9713
-3.5751 -1.2765 0.7760
0.0000 0.0000 0.0000
```

Calculated volume ... 179 Å³/cell
Formation energy from the elements ... 148 kJ/mol of formula units
Space group ... F-43m, No. 216


[18]
Here is crystalline Tb2NbSi4Pt3 at its relaxed geometry from the Alexandria database. Energies are from PBE-GGA.

Cell and atoms, written as POSCAR:
```
Tb2NbSi4Pt3
1.0
-2.3546 -0.7757 -3.3654
3.4454 -0.8093 -2.2240
-0.5879 -9.9118 2.6960
Si Nb Pt Tb
4 1 3 2
Cartesian
0.5454 -0.7925 -2.7947
-1.5565 -6.7812 0.0563
0.0000 0.0000 0.0000
1.5140 -3.9232 -0.1549
0.2515 -5.7484 -1.4467
-0.2939 -4.9559 1.3480
1.6519 -1.5980 -0.7874
-1.6944 -9.1064 0.6887
1.2751 -7.9509 0.9406
-1.3176 -2.7534 -1.0393
```

Total energy ... -6.893 eV/atom
Calculated volume ... 180 Å³/cell
Space group ... P-4m2, No. 115


[19]
Here is crystalline SmYPdRu at its relaxed geometry from the Alexandria database. Energies are from PBE-GGA.

Cell and atoms, written as POSCAR:
```
SmYPdRu
1.0
-0.7306 3.9230 2.9085
1.9221 0.0942 4.5475
3.7511 3.0408 1.0325
Y Pd Ru Sm
1 1 1 1
Cartesian
2.4713 3.5290 4.2443
1.2357 1.7645 2.1221
3.7070 5.2935 6.3664
0.0000 0.0000 0.0000
```

ΔE to the lowest computed polymorph ... 35 meV per atom
Calculated volume ... 85 Å³/cell
Formation energy from the elements ... -216 kJ/mol of formula units
Space group ... F-43m, No. 216


[20]
Here is crystalline ErCdPtO6 at its relaxed geometry from the Alexandria database. Energies are from PBE-GGA.

Cell and atoms, written as POSCAR:
```
ErCdPtO6
1.0
5.5846 0.0000 0.0000
-2.7923 4.8364 0.0000
0.0000 0.0000 8.9323
O Er Pt Cd
12 2 2 2
Cartesian
-0.7749 4.6639 5.6075
0.7749 4.6639 7.7910
-1.6342 3.1756 7.7910
3.6516 3.0031 3.3248
2.0174 0.1725 1.1413
0.8593 1.8333 7.7910
-0.8593 1.8333 5.6075
1.6342 3.1756 5.6075
1.1581 1.6608 3.3248
4.4265 1.6608 1.1413
3.5672 0.1725 3.3248
1.9330 3.0031 1.1413
0.0000 3.2243 2.2331
2.7923 1.6121 6.6992
2.7923 1.6121 2.2331
0.0000 3.2243 6.6992
0.0000 0.0000 0.0000
0.0000 0.0000 4.4661
```

Total energy ... -5.781 eV/atom
Calculated volume ... 241 Å³/cell
Space group ... P-31c, No. 163